Record 1
KPb6 PBE-GGA optimized geometry; energy above the lowest structure with this stoichiometry = 309.3 meV per atom; space group = Pm-3m, No. 221; final energy = -21.32 eV per cell; D(E_F) = 4.88 states/eV/f.u.; total magnetic moment = 0.000 μB/cell; formation energy = 0.29 eV/atom
1.0
7.645 0.000 0.000
0.000 7.645 0.000
0.000 0.000 7.645
K Pb
1 6
direct
0.000 0.000 0.000
0.202 0.500 0.500
0.500 0.202 0.500
0.500 0.500 0.202
0.500 0.500 0.798
0.500 0.798 0.500
0.798 0.500 0.500

---

Record 2
K3Pb2 PBE-GGA optimized geometry; space group = Fdd2, No. 43; final energy = -22.51 eV per cell; D(E_F) = 3.48 states/eV/f.u.; total magnetic moment = 0.000 μB/cell; formation energy = -0.11 eV/atom
1.0
0.000 13.810 2.450
6.537 0.000 2.450
6.537 13.810 0.000
K Pb
6 4
direct
0.000 0.000 0.000
0.250 0.250 0.250
0.474 0.533 0.725
0.525 0.982 0.776
0.533 0.474 0.268
0.982 0.525 0.717
0.273 0.753 0.667
0.583 0.943 0.977
0.753 0.273 0.307
0.943 0.583 0.497

---

Record 3
KPb2 PBE-GGA optimized geometry; energy above the lowest structure with this stoichiometry = 128.4 meV per atom; space group = Cmcm, No. 63; final energy = -17.45 eV per cell; D(E_F) = 1.62 states/eV/f.u.; total magnetic moment = 0.000 μB/cell; formation energy = -0.07 eV/atom
1.0
1.803 -9.098 0.000
1.803 9.098 0.000
0.000 0.000 6.305
K Pb
2 4
direct
0.111 0.889 0.750
0.889 0.111 0.250
0.212 0.788 0.250
0.441 0.559 0.750
0.559 0.441 0.250
0.788 0.212 0.750

---

Record 4
K4Pb PBE-GGA optimized geometry; energy above the lowest structure with this stoichiometry = 17.6 meV per atom; space group = P2/c, No. 13; final energy = -16.50 eV per cell; D(E_F) = 3.29 states/eV/f.u.; total magnetic moment = 0.000 μB/cell; formation energy = -0.03 eV/atom
1.0
8.550 0.000 0.000
0.000 12.823 0.000
-1.780 0.000 5.251
K Pb
8 2
direct
0.213 0.128 0.107
0.213 0.872 0.607
0.245 0.366 0.622
0.245 0.634 0.122
0.755 0.366 0.878
0.755 0.634 0.378
0.787 0.128 0.393
0.787 0.872 0.893
0.500 0.087 0.750
0.500 0.913 0.250

---

Record 5
KPb2 PBE-GGA optimized geometry; energy above the lowest structure with this stoichiometry = 151.9 meV per atom; space group = I4_1/amd, No. 141; final energy = -17.31 eV per cell; D(E_F) = 1.29 states/eV/f.u.; total magnetic moment = 0.000 μB/cell; formation energy = -0.05 eV/atom
1.0
-2.602 2.602 9.266
2.602 -2.602 9.266
2.602 2.602 -9.266
K Pb
2 4
direct
0.375 0.625 0.750
0.625 0.375 0.250
0.042 0.792 0.250
0.208 0.958 0.250
0.792 0.042 0.750
0.958 0.208 0.750

---

Record 6
K3Pb PBE-GGA optimized geometry; space group = P-6m2, No. 187; final energy = -6.79 eV per cell; D(E_F) = 2.77 states/eV/f.u.; total magnetic moment = 0.001 μB/cell; formation energy = 0.05 eV/atom
1.0
4.278 0.000 0.000
-2.139 3.704 0.000
0.000 0.000 13.514
K Pb
3 1
direct
0.000 0.000 0.000
0.333 0.667 0.298
0.333 0.667 0.702
0.000 0.000 0.500

---

Record 7
K4Pb3 PBE-GGA optimized geometry; space group = P6/mmm, No. 191; final energy = -15.94 eV per cell; D(E_F) = 4.50 states/eV/f.u.; total magnetic moment = 0.000 μB/cell; formation energy = -0.06 eV/atom
1.0
6.863 0.000 0.000
-3.432 5.944 0.000
0.000 0.000 7.099
K Pb
4 3
direct
0.000 0.000 0.236
0.000 0.000 0.764
0.333 0.667 0.500
0.667 0.333 0.500
0.000 0.500 0.000
0.500 0.000 0.000
0.500 0.500 0.000

---

Record 8
K4Pb PBE-GGA optimized geometry; energy above the lowest structure with this stoichiometry = 258.1 meV per atom; space group = I4/mmm, No. 139; final energy = -7.05 eV per cell; D(E_F) = 4.47 states/eV/f.u.; total magnetic moment = 0.000 μB/cell; formation energy = 0.21 eV/atom
1.0
-2.581 2.581 10.769
2.581 -2.581 10.769
2.581 2.581 -10.769
K Pb
4 1
direct
0.082 0.082 0.000
0.250 0.750 0.500
0.750 0.250 0.500
0.918 0.918 0.000
0.500 0.500 0.000

---

Record 9
K8Pb PBE-GGA optimized geometry; space group = I4/mmm, No. 139; final energy = -12.47 eV per cell; D(E_F) = 7.25 states/eV/f.u.; total magnetic moment = 0.000 μB/cell; formation energy = 0.00 eV/atom
1.0
-6.455 6.455 3.201
6.455 -6.455 3.201
6.455 6.455 -3.201
K Pb
8 1
direct
0.000 0.308 0.308
0.000 0.692 0.692
0.308 0.000 0.308
0.352 0.352 0.705
0.352 0.648 0.000
0.648 0.352 0.000
0.648 0.648 0.295
0.692 0.000 0.692
0.000 0.000 0.000

---

Record 10
KPb2 PBE-GGA optimized geometry; energy above the lowest structure with this stoichiometry = 141.8 meV per atom; space group = P-3m1, No. 164; final energy = -8.68 eV per cell; D(E_F) = 0.84 states/eV/f.u.; total magnetic moment = 0.000 μB/cell; formation energy = -0.06 eV/atom
1.0
4.141 0.000 0.000
-2.070 3.586 0.000
0.000 0.000 7.752
K Pb
1 2
direct
0.000 0.000 0.000
0.333 0.667 0.369
0.667 0.333 0.631

---

Record 11
K3Pb PBE-GGA optimized geometry; space group = Imm2, No. 44; final energy = -7.17 eV per cell; D(E_F) = 2.81 states/eV/f.u.; total magnetic moment = 0.000 μB/cell; formation energy = -0.04 eV/atom
1.0
-2.520 5.805 3.099
2.520 -5.805 3.099
2.520 5.805 -3.099
K Pb
3 1
direct
0.000 0.000 0.000
0.261 0.499 0.762
0.737 0.499 0.238
0.500 0.000 0.500

---

Record 12
K2Pb17 PBE-GGA optimized geometry; space group = R-3m, No. 166; final energy = -65.92 eV per cell; D(E_F) = 9.50 states/eV/f.u.; total magnetic moment = 0.000 μB/cell; formation energy = -0.04 eV/atom
1.0
5.752 3.321 5.769
-5.752 3.321 5.769
0.000 -6.642 5.769
K Pb
2 17
direct
0.161 0.161 0.161
0.839 0.839 0.839
0.000 0.500 0.500
0.151 0.151 0.655
0.151 0.655 0.151
0.203 0.500 0.797
0.203 0.797 0.500
0.345 0.849 0.849
0.403 0.403 0.403
0.500 0.000 0.500
0.500 0.203 0.797
0.500 0.500 0.000
0.500 0.797 0.203
0.597 0.597 0.597
0.655 0.151 0.151
0.797 0.203 0.500
0.797 0.500 0.203
0.849 0.345 0.849
0.849 0.849 0.345

---

Record 13
K4Pb PBE-GGA optimized geometry; energy above the lowest structure with this stoichiometry = 84.7 meV per atom; space group = Pm-3m, No. 221; final energy = -7.92 eV per cell; D(E_F) = 4.75 states/eV/f.u.; total magnetic moment = 0.321 μB/cell; formation energy = 0.04 eV/atom
1.0
6.954 0.000 0.000
0.000 6.954 0.000
0.000 0.000 6.954
K Pb
4 1
direct
0.000 0.000 0.000
0.000 0.500 0.500
0.500 0.000 0.500
0.500 0.500 0.000
0.500 0.500 0.500

---

Record 14
K3Pb PBE-GGA optimized geometry; space group = Fm-3m, No. 225; final energy = -7.20 eV per cell; D(E_F) = 2.64 states/eV/f.u.; total magnetic moment = 1.054 μB/cell; formation energy = -0.05 eV/atom
1.0
0.000 4.484 4.484
4.484 0.000 4.484
4.484 4.484 0.000
K Pb
3 1
direct
0.000 0.000 0.000
0.250 0.250 0.250
0.750 0.750 0.750
0.500 0.500 0.500

---

Record 15
K2Pb3 PBE-GGA optimized geometry; space group = Cmce, No. 64; final energy = -27.70 eV per cell; D(E_F) = 3.27 states/eV/f.u.; total magnetic moment = 0.000 μB/cell; formation energy = -0.11 eV/atom
1.0
3.396 -6.425 0.000
3.396 6.425 0.000
0.000 0.000 9.157
K Pb
4 6
direct
0.148 0.852 0.889
0.352 0.648 0.389
0.648 0.352 0.611
0.852 0.148 0.111
0.000 0.000 0.500
0.140 0.360 0.750
0.360 0.140 0.250
0.500 0.500 0.000
0.640 0.860 0.750
0.860 0.640 0.250

---

Record 16
KPb6 PBE-GGA optimized geometry; energy above the lowest structure with this stoichiometry = 0.0 meV per atom; space group = Pnma, No. 62; final energy = -93.96 eV per cell; D(E_F) = 3.87 states/eV/f.u.; total magnetic moment = 0.000 μB/cell; formation energy = -0.02 eV/atom
1.0
10.640 0.000 0.000
0.000 6.951 0.000
0.000 0.000 13.303
K Pb
4 24
direct
0.242 0.250 0.064
0.258 0.750 0.564
0.742 0.250 0.436
0.758 0.750 0.936
0.061 0.016 0.307
0.061 0.484 0.307
0.075 0.750 0.090
0.107 0.250 0.530
0.149 0.750 0.852
0.192 0.250 0.770
0.308 0.750 0.270
0.351 0.250 0.352
0.393 0.750 0.030
0.425 0.250 0.590
0.439 0.516 0.807
0.439 0.984 0.807
0.561 0.016 0.193
0.561 0.484 0.193
0.575 0.750 0.410
0.607 0.250 0.970
0.649 0.750 0.648
0.692 0.250 0.730
0.808 0.750 0.230
0.851 0.250 0.148
0.893 0.750 0.470
0.925 0.250 0.910
0.939 0.516 0.693
0.939 0.984 0.693

---

Record 17
KPb2 PBE-GGA optimized geometry; energy above the lowest structure with this stoichiometry = 86.8 meV per atom; space group = Pnma, No. 62; final energy = -35.39 eV per cell; D(E_F) = 1.08 states/eV/f.u.; total magnetic moment = 0.000 μB/cell; formation energy = -0.11 eV/atom
1.0
7.434 0.000 0.000
0.000 5.250 0.000
0.000 0.000 10.708
K Pb
4 8
direct
0.137 0.250 0.081
0.363 0.750 0.581
0.637 0.250 0.419
0.863 0.750 0.919
0.055 0.250 0.719
0.127 0.250 0.418
0.373 0.750 0.918
0.445 0.750 0.219
0.555 0.250 0.781
0.627 0.250 0.082
0.873 0.750 0.582
0.945 0.750 0.281

---

Record 18
KPb2 PBE-GGA optimized geometry; energy above the lowest structure with this stoichiometry = 566.3 meV per atom; space group = Fm-3m, No. 225; final energy = -7.41 eV per cell; D(E_F) = 2.12 states/eV/f.u.; total magnetic moment = 0.000 μB/cell; formation energy = 0.37 eV/atom
1.0
0.000 3.869 3.869
3.869 0.000 3.869
3.869 3.869 0.000
K Pb
1 2
direct
0.000 0.000 0.000
0.250 0.250 0.250
0.750 0.750 0.750

---

Record 19
K4Pb PBE-GGA optimized geometry; energy above the lowest structure with this stoichiometry = 18.9 meV per atom; space group = Im-3m, No. 229; final energy = -8.25 eV per cell; D(E_F) = 2.86 states/eV/f.u.; total magnetic moment = 0.000 μB/cell; formation energy = -0.03 eV/atom
1.0
-4.247 4.247 4.247
4.247 -4.247 4.247
4.247 4.247 -4.247
K Pb
4 1
direct
0.000 0.000 0.500
0.000 0.500 0.000
0.500 0.000 0.000
0.500 0.500 0.500
0.000 0.000 0.000

---

Record 20
KPb2 PBE-GGA optimized geometry; energy above the lowest structure with this stoichiometry = 0.0 meV per atom; space group = Fd-3m, No. 227; final energy = -18.22 eV per cell; D(E_F) = 0.71 states/eV/f.u.; total magnetic moment = 0.000 μB/cell; formation energy = -0.20 eV/atom
1.0
0.000 4.746 4.746
4.746 0.000 4.746
4.746 4.746 0.000
K Pb
2 4
direct
0.125 0.125 0.125
0.875 0.875 0.875
0.000 0.500 0.500
0.500 0.000 0.500
0.500 0.500 0.000
0.500 0.500 0.500